Density functional theory data (GGA+U) for an optimized crystal structure of CeCr2MoO8.

As for the calculated total energy: -7.76 eV per atom. Its volume is 12.0 Å³/atom.

The space group is Cmmm (No. 65) and the conventional cell measures 6.6479, 6.6671 and 6.5204 Å, with angles of 90.00, 90.00 and 90.00 degrees. The asymmetric unit holds Ce at (0.0000, 0.0000, 0.0000), Cr at (0.0000, 0.5000, 0.2576), Mo at (0.0000, 0.0000, 0.5000), O at (0.0000, 0.1987, 0.2852), O at (0.1796, 0.5000, 0.0000) and O at (0.2010, 0.5000, 0.5000).